The following is a GGA-PBE calculation of a relaxed structure of Zn2Pd5PtAu, from the Alexandria database.

Properties
As for the energy: -151.0 eV/cell.

Cell lengths 6.1745, 6.1745, 15.3270 Å; angles 90.00, 90.00, 90.00 degrees
Space group I4/mcm (No. 140)
Inequivalent atoms, fractional coordinates:
1 Zn 0.1283 0.3717 0.0000 x8
2 Pd 0.0000 0.0000 0.0000 x4
3 Pd 0.2187 0.2813 0.3685 x16
4 Pt 0.0000 0.0000 0.2500 x4
5 Au 0.0000 0.5000 0.2500 x4


The following is a GGA-PBE calculation of a relaxed structure of ZrPdPtAu, from the Alexandria database.

Properties
As for the energy: -52.4 eV/cell.

Cell lengths 4.1086, 4.1086, 8.1538 Å; angles 90.00, 90.00, 90.00 degrees
Space group I-4m2 (No. 119)
Inequivalent atoms, fractional coordinates:
1 Zr 0.0000 0.0000 0.0000 x2
2 Pd 0.0000 0.5000 0.7500 x2
3 Pt 0.0000 0.5000 0.2500 x2
4 Au 0.0000 0.0000 0.5000 x2


The following is a GGA-PBE calculation of a relaxed structure of ZrPd2PtAu2, from the Alexandria database.

Properties
As for the energy: -67.8 eV/cell.

Cell lengths 5.4001, 5.5622, 7.0951 Å; angles 90.00, 99.00, 90.00 degrees
Space group P2_1/m (No. 11)
Inequivalent atoms, fractional coordinates:
1 Zr 0.1852 0.2500 0.1865 x2
2 Pd 0.0015 0.2500 0.5104 x2
3 Pd 0.4933 0.7500 0.4909 x2
4 Pt 0.1671 0.7500 0.1323 x2
5 Au 0.3186 0.0017 0.8149 x4


The following is a GGA-PBE calculation of a relaxed structure of ZrPd2PtAu, from the Alexandria database.

Properties
As for the energy: -61.7 eV/cell.

Cell lengths 6.5128, 4.2159, 6.8532 Å; angles 90.00, 104.87, 90.00 degrees
Space group P2_1/m (No. 11)
Inequivalent atoms, fractional coordinates:
1 Zr 0.1272 0.2500 0.2176 x2
2 Pd 0.1533 0.7500 0.5191 x2
3 Pd 0.4620 0.2500 0.6057 x2
4 Pt 0.1521 0.2500 0.8275 x2
5 Au 0.4668 0.7500 0.8666 x2


The following is a GGA-PBE calculation of a relaxed structure of Pu4Pd12Au, from the Alexandria database.

Properties
As for the energy: -262.2 eV/cell.

Cell lengths 8.5948, 8.5948, 8.5948 Å; angles 90.00, 90.00, 90.00 degrees
Space group Im-3m (No. 229)
Inequivalent atoms, fractional coordinates:
1 Pu 0.2500 0.2500 0.2500 x8
2 Pd 0.0000 0.0000 0.3044 x12
3 Pd 0.0000 0.2500 0.5000 x12
4 Au 0.0000 0.0000 0.0000 x2


The following is a GGA-PBE calculation of a relaxed structure of Pu4Pd2Au5, from the Alexandria database.

Properties
As for the energy: -86.4 eV/cell.

Cell lengths 6.9236, 3.2837, 10.6842 Å; angles 90.00, 90.00, 90.00 degrees
Space group P2/m (No. 10)
Inequivalent atoms, fractional coordinates:
1 Pu 0.0536 0.0000 0.1334 x2
2 Pu 0.1667 0.0000 0.4116 x2
3 Pd 0.2905 0.5000 0.9570 x2
4 Au 0.1948 0.5000 0.6790 x2
5 Au 0.4095 0.5000 0.2204 x2
6 Au 0.5000 0.5000 0.5000 x1


The following is a GGA-PBE calculation of a relaxed structure of Pu2Pd5Au2, from the Alexandria database.

Properties
The calculation puts the offset from the most stable computed form at 90 meV/atom.

Cell lengths 13.3052, 9.6477, 5.4426 Å; angles 90.00, 90.00, 90.00 degrees
Space group Ima2 (No. 46)
Inequivalent atoms, fractional coordinates:
1 Pu 0.1262 0.0053 0.0000 x8
2 Pd 0.0367 0.2495 0.7558 x8
3 Pd 0.1461 0.7234 0.0106 x8
4 Pd 0.2500 0.2457 0.7588 x4
5 Au 0.0000 0.0000 0.5018 x4
6 Au 0.2500 0.0147 0.4956 x4


The following is a GGA-PBE calculation of a relaxed structure of Pu2Pd5Au4, from the Alexandria database.

Properties
As for the energy: -141.6 eV/cell.

Cell lengths 5.5384, 8.9946, 9.0539 Å; angles 90.00, 90.00, 90.00 degrees
Space group Immm (No. 71)
Inequivalent atoms, fractional coordinates:
1 Pu 0.0000 0.0000 0.2054 x4
2 Pd 0.0000 0.5000 0.5000 x2
3 Pd 0.2493 0.2613 0.0000 x8
4 Au 0.0000 0.3378 0.2459 x8